Here is an optimized crystal structure of CrGeSO from Alexandria via LeMat-Bulk. Energies are from PBE+U.

Values from the calculation:
The value obtained for the final energy is -0.2252 hartree per atom. As for the total moment: 2.99 Bohr magnetons per cell. The density of states at the Fermi level is 0.1 states/eV/cell. Its space group is Cm (8). For the relative energy among the computed polymorphs, the calculation gives 0.05 eV per formula unit.

POSCAR file:
```
CrGeSO
1.0
-0.782 0.428 -3.108
-2.862 -1.028 -1.103
-4.554 5.925 1.955
S Cr Ge O
1 1 1 1
direct
0.793 0.327 0.207 S
0.403 0.107 0.021 Cr
0.951 0.014 0.625 Ge
0.026 0.862 0.876 O
```